# 1
## NaInFeF6 (PBE with a Hubbard U)

Data for a relaxed NaInFeF6 crystal.

DFT total energy (eV/atom): -4.7662
SG: P-31c, No. 163

extended XYZ file:
```
18
Lattice="5.601 0.000 0.000 -2.800 4.850 0.000 0.000 0.000 9.664" Properties=species:S:1:pos:R:3 pbc="T T T"
F 1.812 3.119 6.154
F -0.988 1.731 1.322
F 0.807 4.840 3.510
F 1.993 0.010 6.154
F 4.595 1.721 6.154
F 3.607 0.010 8.342
F 1.005 1.721 8.342
F 3.788 3.119 8.342
F -1.795 3.129 3.510
F 0.988 1.731 3.510
F 1.795 3.129 1.322
F -0.807 4.840 1.322
Fe 0.000 3.233 2.416
Fe 2.800 1.617 7.248
In 2.800 1.617 2.416
In 0.000 3.233 7.248
Na 0.000 0.000 0.000
Na 0.000 0.000 4.832
```

# 2
## Cs2Pu3CoO12 (PBE with a Hubbard U)

Data for a relaxed Cs2Pu3CoO12 crystal.

DFT total energy (eV/atom): -8.2458
SG: R-3m, No. 166

extended XYZ file:
```
18
Lattice="-0.444 6.736 -2.843 -3.494 4.938 4.131 4.267 5.043 3.166" Properties=species:S:1:pos:R:3 pbc="T T T"
Pu -1.747 2.469 2.066
Pu 2.134 2.521 1.583
Pu -0.222 3.368 -1.422
O 0.496 7.138 4.764
O 2.568 12.587 1.534
O -2.412 8.183 1.055
O 2.776 4.197 2.296
O -0.269 5.292 -1.587
O -2.447 12.520 2.158
O 0.597 11.425 6.041
O 2.740 8.534 3.399
O -2.050 8.469 3.994
O -2.239 4.130 2.920
O 2.379 8.248 0.460
O -0.168 9.579 -0.311
Cs 0.123 6.235 1.661
Cs 0.206 10.482 2.793
Co 0.000 0.000 0.000
```